! Cs2PuAlSe4 | Alexandria via LeMat-Bulk | GGA-PBE | optimized geometry; values from VASP
! **E_form (uncorrected)**: -1.151 eV/atom
&SYSTEM
  ibrav = 0, nat = 16, ntyp = 4
/
ATOMIC_SPECIES
Cs 132.91 Cs.upf
Pu 244.00 Pu.upf
Al 26.98 Al.upf
Se 78.96 Se.upf
CELL_PARAMETERS angstrom
0.0000 7.5277 13.3527
3.2635 0.0000 13.3527
3.2635 7.5277 0.0000
ATOMIC_POSITIONS crystal
Cs 0.0544 0.0544 0.6956
Cs 0.3044 0.3044 0.9456
Cs 0.6956 0.6956 0.0544
Cs 0.9456 0.9456 0.3044
Pu 0.1250 0.1250 0.1250
Pu 0.8750 0.8750 0.8750
Al 0.3750 0.3750 0.3750
Al 0.6250 0.6250 0.6250
Se 0.0134 0.6331 0.5416
Se 0.3118 0.5416 0.6331
Se 0.3669 0.9866 0.6882
Se 0.4584 0.6882 0.9866
Se 0.5416 0.3118 0.0134
Se 0.6331 0.0134 0.3118
Se 0.6882 0.4584 0.3669
Se 0.9866 0.3669 0.4584